Below is a relaxed structure of CaSm2Ho3Se6, with properties calculated at the PBE level.

Cell lengths 4.0937, 8.2846, 9.2169 Å; angles 103.25, 102.83, 90.00 degrees
Element x y z (fractional)
Ho (0.1690, 0.8289, 0.3381)
Ho (0.8310, 0.1711, 0.6619)
Ho (0.5000, 0.5000, 0.0000)
Sm (0.1716, 0.3422, 0.3432)
Sm (0.8284, 0.6578, 0.6568)
Se (0.6666, 0.0754, 0.3332)
Se (0.0013, 0.7477, 0.0026)
Se (0.9987, 0.2523, 0.9974)
Se (0.6616, 0.5889, 0.3232)
Se (0.3384, 0.4111, 0.6768)
Se (0.3334, 0.9246, 0.6668)
Ca (0.5000, 0.0000, 0.0000)

## Properties
**Crystal system**: monoclinic
**Energy relative to the elements, uncorrected**: -21.7 eV per formula unit
**ρ**: 7.3 g/cm³

Below is a relaxed structure of CrIn5, with properties calculated at the PBE level.

Cell lengths 5.8623, 5.8623, 8.2699 Å; angles 78.84, 78.84, 32.27 degrees
Element x y z (fractional)
In (0.5454, 0.5454, 0.2308)
In (0.6983, 0.6983, 0.7140)
In (0.9728, 0.9728, 0.5933)
In (0.2626, 0.2626, 0.3722)
In (0.3165, 0.3165, 0.9827)
Cr (0.0378, 0.0378, 0.9403)

## Properties
**Crystal system**: monoclinic
**E above lowest polymorph**: 37 meV per atom
**Calculated formation energy**: 0.209 eV/atom
**ρ**: 7.0 g/cm³

Below is a relaxed structure of Mg8Ga2Hg, with properties calculated at the PBE level.

Cell lengths 4.6101, 7.0509, 8.2446 Å; angles 113.88, 106.24, 90.00 degrees
Element x y z (fractional)
Mg (0.5953, 0.4551, 0.1905)
Mg (0.6711, 0.9299, 0.3422)
Mg (0.3289, 0.0701, 0.6578)
Mg (0.9726, 0.2298, 0.9452)
Mg (0.0274, 0.7702, 0.0548)
Mg (0.1842, 0.2712, 0.3684)
Mg (0.8158, 0.7288, 0.6316)
Mg (0.4047, 0.5449, 0.8095)
Ga (0.8169, 0.3275, 0.6338)
Ga (0.1831, 0.6725, 0.3662)
Hg (0.5000, 0.0000, 0.0000)

## Properties
**Crystal system**: monoclinic
**E above lowest polymorph**: 0 meV per atom
**Calculated formation energy**: -0.113 eV/atom
**ρ**: 3.8 g/cm³

Below is a relaxed structure of Si2HgMo, with properties calculated at the PBE level.

Cell lengths 5.2118, 5.2118, 5.2118 Å; angles 136.98, 136.98, 62.46 degrees
Element x y z (fractional)
Hg (0.5000, 0.5000, 0.0000)
Mo (0.7500, 0.2500, 0.5000)
Si (0.0000, 0.0000, 0.0000)
Si (0.2500, 0.7500, 0.5000)

## Properties
**Crystal system**: tetragonal
**Energy relative to the elements, uncorrected**: 2.0 eV per formula unit
**ρ**: 9.0 g/cm³

Below is a relaxed structure of Er2Pt4Au, with properties calculated at the PBE level.

Cell lengths 8.9915, 5.5578, 6.2324 Å; angles 116.48, 90.00, 90.00 degrees
Element x y z (fractional)
Pt (0.2500, 0.4997, 0.5000)
Pt (0.7499, 0.2499, 0.0000)
Pt (0.2501, 0.7501, 0.0000)
Pt (0.2499, 0.2501, 0.0000)
Pt (0.7501, 0.7499, 0.0000)
Pt (0.7500, 0.5003, 0.5000)
Pt (0.7500, 0.0003, 0.5000)
Pt (0.2500, 0.9997, 0.5000)
Er (0.0000, 0.3553, 0.7107)
Er (0.0000, 0.6447, 0.2893)
Er (0.5000, 0.8553, 0.7107)
Er (0.5000, 0.1447, 0.2893)
Au (0.5000, 0.5000, 0.0000)
Au (0.0000, 0.0000, 0.0000)

## Properties
**Crystal system**: orthorhombic
**E above lowest polymorph**: 111 meV per atom
**Calculated formation energy**: -0.776 eV/atom
**ρ**: 15.6 g/cm³

Below is a relaxed structure of K3Pu3NbSe8, with properties calculated at the PBE level.

Cell lengths 8.2679, 8.2909, 9.1863 Å; angles 116.82, 90.09, 120.10 degrees
Element x y z (fractional)
Se (0.7351, 0.4723, 0.7096)
Se (0.2649, 0.5277, 0.2904)
Se (0.2191, 0.9750, 0.6940)
Se (0.7809, 0.0250, 0.3060)
Se (0.2190, 0.4378, 0.6939)
Se (0.2481, 0.0271, 0.3060)
Se (0.7519, 0.9729, 0.6940)
Se (0.7810, 0.5622, 0.3061)
Pu (0.0000, 0.5000, 0.5000)
Pu (0.5000, 0.0000, 0.5000)
Pu (0.5000, 0.5000, 0.5000)
K (0.0000, 0.5000, 0.0000)
K (0.5000, 0.5000, 0.0000)
K (0.0000, 0.0000, 0.0000)
Nb (0.0000, 0.0000, 0.5000)

## Properties
**Crystal system**: monoclinic
**Energy relative to the elements, uncorrected**: -19.2 eV per formula unit
**ρ**: 5.6 g/cm³

Below is a relaxed structure of Cu2AgBr3, with properties calculated at the PBE level.

Cell lengths 4.1485, 6.9520, 11.1159 Å; angles 103.54, 100.75, 90.00 degrees
Element x y z (fractional)
Cu (0.6975, 0.3310, 0.3951)
Cu (0.3025, 0.6690, 0.6049)
Cu (0.0440, 0.1561, 0.0880)
Cu (0.9560, 0.8439, 0.9120)
Ag (0.3484, 0.0748, 0.6967)
Ag (0.6516, 0.9252, 0.3033)
Br (0.0698, 0.8231, 0.1396)
Br (0.5888, 0.3321, 0.1775)
Br (0.9302, 0.1769, 0.8604)
Br (0.2496, 0.2610, 0.4992)
Br (0.7504, 0.7390, 0.5008)
Br (0.4112, 0.6679, 0.8225)

## Properties
**Crystal system**: monoclinic
**E above lowest polymorph**: 3 meV per atom
**Energy relative to the elements, uncorrected**: -1.5 eV per formula unit
**ρ**: 5.2 g/cm³